This record from Alexandria describes crystalline LaTeIr2 at its relaxed geometry. The functional is GGA-PBE.

Results
The calculation puts the total energy at -6.65 eV/atom. For the raw formation energy, the calculation gives -0.1996 eV/atom. The calculation puts the total magnetic moment at 0.00 μB per cell. The value obtained for the density of states at the Fermi level is 3.55 states/eV/f.u.

a b c (Å): 3.805 5.166 9.337
angles (deg): 90.00 90.00 90.00
Space group Imm2 (No. 44)
Asymmetric unit:
La  0.000  0.000  0.000 [2 per cell]
Te  0.000  0.500  0.788 [2 per cell]
Ir  0.000  0.000  0.494 [2 per cell]
Ir  0.000  0.500  0.174 [2 per cell]